[1]
A plane-wave DFT calculation with PBE-GGA was carried out for a relaxed Pr12Ho3Er crystal.

Output
**Total moment**: 0.000 Bohr magnetons per cell
**DFT total energy**: -75.455 eV/cell

Cell lengths 5.1845, 5.1845, 20.6756 Å; angles 90.00, 90.00, 90.00 degrees
With the nearest neighbours (Å) after each atom.
Element x y z (fractional)
Pr 0.5000 0.5000 0.0000  8 Pr 3.66, 4 Er 3.67
Pr 0.5000 0.5000 0.2497  8 Pr 3.66, 4 Ho 3.67
Pr 0.5000 0.5000 0.5000  8 Pr 3.66, 4 Ho 3.67
Pr 0.5000 0.5000 0.7503  8 Pr 3.66, 4 Ho 3.67
Pr 0.5000 0.0000 0.1247  8 Pr 3.66-3.67, 2 Er 3.66, 2 Ho 3.66
Pr 0.5000 0.0000 0.3748  4 Ho 3.66, 8 Pr 3.66-3.67
Pr 0.5000 0.0000 0.6252  4 Ho 3.66, 8 Pr 3.66-3.67
Pr 0.5000 0.0000 0.8753  8 Pr 3.66-3.67, 2 Er 3.66, 2 Ho 3.66
Pr 0.0000 0.5000 0.1247  8 Pr 3.66-3.67, 2 Er 3.66, 2 Ho 3.66
Pr 0.0000 0.5000 0.3748  4 Ho 3.66, 8 Pr 3.66-3.67
Pr 0.0000 0.5000 0.6252  4 Ho 3.66, 8 Pr 3.66-3.67
Pr 0.0000 0.5000 0.8753  8 Pr 3.66-3.67, 2 Er 3.66, 2 Ho 3.66
Ho 0.0000 0.0000 0.2497  12 Pr 3.66-3.67
Ho 0.0000 0.0000 0.5000  12 Pr 3.66-3.67
Ho 0.0000 0.0000 0.7503  12 Pr 3.66-3.67
Er 0.0000 0.0000 0.0000  12 Pr 3.66-3.67

=====

[2]
A plane-wave DFT calculation with PBE-GGA was carried out for a relaxed Li2Nd3Pb5 crystal.

Output
**Total moment**: 0.000 Bohr magnetons per cell
**DFT total energy**: -81.223 eV/cell

Cell lengths 4.5347, 10.9774, 10.9774 Å; angles 90.00, 90.00, 90.00 degrees
With the nearest neighbours (Å) after each atom.
Element x y z (fractional)
Li 0.0000 0.1275 0.6275  6 Pb 2.96-3.01, 3 Nd 3.20-3.26
Li 0.0000 0.8725 0.3725  6 Pb 2.96-3.01, 3 Nd 3.20-3.26
Li 0.0000 0.3725 0.1275  6 Pb 2.96-3.01, 3 Nd 3.20-3.26
Li 0.0000 0.6275 0.8725  6 Pb 2.96-3.01, 3 Nd 3.20-3.26
Nd 0.0000 0.3333 0.8333  3 Li 3.20-3.26, 2 Pb 3.44
Nd 0.0000 0.6667 0.1667  3 Li 3.20-3.26, 2 Pb 3.44
Nd 0.0000 0.1667 0.3333  3 Li 3.20-3.26, 2 Pb 3.44
Nd 0.0000 0.8333 0.6667  3 Li 3.20-3.26, 2 Pb 3.44
Nd 0.0000 0.0000 0.0000  8 Pb 3.32
Nd 0.0000 0.5000 0.5000  8 Pb 3.32
Pb 0.5000 0.2060 0.0809  2 Li 2.96, 1 Pb 3.31
Pb 0.5000 0.7940 0.9191  2 Li 2.96, 1 Pb 3.31
Pb 0.5000 0.9191 0.2060  2 Li 2.96, 1 Pb 3.31
Pb 0.5000 0.0809 0.7940  2 Li 2.96, 1 Pb 3.31
Pb 0.5000 0.2940 0.5809  2 Li 2.96, 1 Pb 3.31
Pb 0.5000 0.7060 0.4191  2 Li 2.96, 1 Pb 3.31
Pb 0.5000 0.5809 0.7060  2 Li 2.96, 1 Pb 3.31
Pb 0.5000 0.4191 0.2940  2 Li 2.96, 1 Pb 3.31
Pb 0.5000 0.0000 0.5000  4 Li 3.01, 4 Pb 3.35
Pb 0.5000 0.5000 0.0000  4 Li 3.01, 4 Pb 3.35